[1]
The following is a GGA-PBE calculation of crystalline DyYSiNi at its relaxed geometry, from Alexandria.

Calculated values
Space-group type: F-43m
Formation energy (no corrections), eV per atom: -0.478
Energy relative to the lowest polymorph listed for this composition, meV per atom: 167

```
DyYSiNi
1.0
-2.3277 4.0356 1.4905
-1.8933 0.2083 4.5053
2.0376 2.8920 3.3779
Y Si Dy Ni
1 1 1 1
Direct
0.5000 0.5000 0.5000
0.7500 0.7500 0.7500
0.0000 0.0000 0.0000
0.2500 0.2500 0.2500
```



[2]
The following is a GGA-PBE calculation of crystalline TaTcRu2 at its relaxed geometry, from Alexandria.

Calculated values
Space-group type: I4/mmm
E_form, eV/atom: -0.0980
Energy relative to the lowest polymorph listed for this composition, meV per atom: 27

```
TaTcRu2
1.0
-0.0392 -2.9226 3.7799
-3.5426 -3.1576 -0.5571
3.5393 1.3112 -2.9300
Tc Ta Ru
1 1 2
Direct
0.7500 0.2500 0.5000
0.2500 0.7500 0.5000
0.0000 0.0000 0.0000
0.5000 0.5000 0.0000
```



[3]
The following is a GGA-PBE calculation of crystalline Na3Zn2TcO6 at its relaxed geometry, from Alexandria.

Calculated values
Space-group type: C2/m
Formation energy (no corrections), eV per atom: -1.468

```
Na3Zn2TcO6
1.0
-2.0820 3.6458 -3.4175
-2.4404 -4.7860 0.6669
-1.4258 2.4419 4.9158
Na O Tc Zn
3 6 1 2
Direct
0.8279 0.1721 0.5000
0.5000 0.5000 0.5000
0.1721 0.8279 0.5000
0.7587 0.7587 0.2035
0.0683 0.3797 0.2062
0.3797 0.0683 0.2062
0.9317 0.6203 0.7938
0.6203 0.9317 0.7938
0.2413 0.2413 0.7965
0.0000 0.0000 0.0000
0.3331 0.6669 0.0000
0.6669 0.3331 0.0000
```



[4]
The following is a GGA-PBE calculation of crystalline CuAgP at its relaxed geometry, from Alexandria.

Calculated values
Space-group type: Imm2
E_form, eV/atom: 0.2324
Energy relative to the lowest polymorph listed for this composition, meV per atom: 138

```
CuAgP
1.0
-2.2246 -4.4383 -0.3015
2.4064 -4.3445 -0.2697
-0.4730 4.2353 2.5646
Ag P Cu
1 1 1
Direct
0.0036 0.0036 0.0000
0.2956 0.2956 0.0000
0.7008 0.7008 0.0000
```



[5]
The following is a GGA-PBE calculation of crystalline BaBiP2Cl at its relaxed geometry, from Alexandria.

Calculated values
Space-group type: P4/mmm
Formation energy (no corrections), eV per atom: 0.554
Energy relative to the lowest polymorph listed for this composition, meV per atom: 868

```
BaBiP2Cl
1.0
6.2282 0.0000 0.0000
0.0000 6.2282 0.0000
0.0000 0.0000 5.6694
Ba P Cl Bi
1 2 1 1
Direct
0.0000 0.0000 0.0000
0.5000 0.0000 0.0000
0.0000 0.5000 0.0000
0.0000 0.0000 0.5000
0.5000 0.5000 0.5000
```



[6]
The following is a GGA-PBE calculation of crystalline Te2Pb4SeS at its relaxed geometry, from Alexandria.

Calculated values
Space-group type: P2/m
Formation energy (no corrections), eV per atom: -0.463

```
Te2Pb4SeS
1.0
4.4732 0.0000 0.0000
0.0000 7.7531 -0.1568
0.0000 2.7258 7.2540
Pb Te Se S
4 2 1 1
Direct
0.0000 0.2721 0.2383
0.5000 0.2697 0.7485
0.5000 0.7303 0.2515
0.0000 0.7279 0.7617
0.5000 0.0000 0.5000
0.0000 0.0000 0.0000
0.0000 0.5000 0.5000
0.5000 0.5000 0.0000
```



[7]
The following is a GGA-PBE calculation of crystalline InGaRu2 at its relaxed geometry, from Alexandria.

Calculated values
Space-group type: P4/mmm
E_form, eV/atom: -0.0893

```
InGaRu2
1.0
3.1169 0.0000 0.0000
0.0000 3.1169 0.0000
0.0000 0.0000 6.3560
In Ru Ga
1 2 1
Direct
0.5000 0.5000 0.5000
0.0000 0.0000 0.7735
0.0000 0.0000 0.2265
0.5000 0.5000 0.0000
```



[8]
The following is a GGA-PBE calculation of crystalline V3ZnTe at its relaxed geometry, from Alexandria.

Calculated values
Space-group type: Pm-3m
Formation energy (no corrections), eV per atom: 0.994
Energy relative to the lowest polymorph listed for this composition, meV per atom: 0

```
V3ZnTe
1.0
4.6654 0.0000 0.0000
0.0000 4.6654 0.0000
0.0000 0.0000 4.6654
V Zn Te
3 1 1
Direct
0.0000 0.0000 0.5000
0.0000 0.5000 0.0000
0.5000 0.0000 0.0000
0.0000 0.0000 0.0000
0.5000 0.5000 0.5000
```



[9]
The following is a GGA-PBE calculation of crystalline GdErSnHg at its relaxed geometry, from Alexandria.

Calculated values
Space-group type: F-43m
E_form, eV/atom: -0.5674

```
GdErSnHg
1.0
-2.9495 -2.3196 -3.7336
-1.9171 -4.8706 0.7882
-5.1868 -0.7078 0.7849
Gd Sn Hg Er
1 1 1 1
Direct
0.5000 0.5000 0.5000
0.2500 0.2500 0.2500
0.7500 0.7500 0.7500
0.0000 0.0000 0.0000
```



[10]
The following is a GGA-PBE calculation of crystalline InAsSe2 at its relaxed geometry, from Alexandria.

Calculated values
Space-group type: Fm-3m
Formation energy (no corrections), eV per atom: 0.176

```
InAsSe2
1.0
0.0000 3.5144 3.5144
3.5144 0.0000 3.5144
3.5144 3.5144 0.0000
As Se In
1 2 1
Direct
0.0000 0.0000 0.0000
0.2500 0.2500 0.2500
0.7500 0.7500 0.7500
0.5000 0.5000 0.5000
```



[11]
The following is a GGA-PBE calculation of crystalline Tl2SnO2 at its relaxed geometry, from Alexandria.

Calculated values
Space-group type: P4/mbm
Formation energy (no corrections), eV per atom: -0.494
Energy relative to the lowest polymorph listed for this composition, meV per atom: 0

```
Tl2SnO2
1.0
6.1069 0.0000 0.0000
0.0000 6.1069 0.0000
0.0000 0.0000 5.4970
Tl Sn O
4 2 4
Direct
0.6839 0.8161 0.5000
0.1839 0.6839 0.5000
0.3161 0.1839 0.5000
0.8161 0.3161 0.5000
0.5000 0.5000 0.0000
0.0000 0.0000 0.0000
0.2553 0.2447 0.0000
0.7447 0.7553 0.0000
0.7553 0.2553 0.0000
0.2447 0.7447 0.0000
```



[12]
The following is a GGA-PBE calculation of crystalline NbSb2PbC at its relaxed geometry, from Alexandria.

Calculated values
Space-group type: P4/mmm
Formation energy (no corrections), eV per atom: 2.695

```
NbSb2PbC
1.0
5.7635 0.0000 0.0000
0.0000 5.4693 0.0000
0.0000 0.0000 5.7635
Sb Nb C Pb
2 1 1 1
Direct
0.5000 0.0000 0.0000
0.0000 0.0000 0.5000
0.0000 0.5000 0.0000
0.5000 0.5000 0.5000
0.0000 0.0000 0.0000
```



[13]
The following is a GGA-PBE calculation of crystalline RbInSi2 at its relaxed geometry, from Alexandria.

Calculated values
Space-group type: I4_1/amd
Formation energy (no corrections), eV per atom: 0.358

```
RbInSi2
1.0
-5.0760 0.2010 -1.0220
0.3560 -4.4433 -2.6421
-4.1456 -6.9704 6.0825
Rb In Si
2 2 4
Direct
0.5000 0.5000 0.0000
0.2500 0.7500 0.5000
0.7500 0.2500 0.5000
0.0000 0.0000 0.0000
0.8750 0.1253 0.7500
0.8747 0.6250 0.2500
0.8753 0.1250 0.2500
0.3750 0.1247 0.7500
```



[14]
The following is a GGA-PBE calculation of crystalline LaAgTe3 at its relaxed geometry, from Alexandria.

Calculated values
Space-group type: Pm-3m
Formation energy (no corrections), eV per atom: -0.377
Energy relative to the lowest polymorph listed for this composition, meV per atom: 0

```
LaAgTe3
1.0
-1.7996 1.3017 -4.9507
-4.9322 -1.8455 1.3076
-1.3701 4.9338 1.7953
La Te Ag
1 3 1
Direct
0.5000 0.5000 0.5000
0.0000 0.0000 0.5000
0.0000 0.5000 0.0000
0.5000 0.0000 0.0000
0.0000 0.0000 0.0000
```



[15]
The following is a GGA-PBE calculation of crystalline Sc2InSe at its relaxed geometry, from Alexandria.

Calculated values
Space-group type: R-3m
Formation energy (no corrections), eV per atom: -0.334
Energy relative to the lowest polymorph listed for this composition, meV per atom: 653

```
Sc2InSe
1.0
2.1052 0.0000 9.3738
-1.0526 1.8232 9.3738
-1.0526 -1.8232 9.3738
In Sc Se
1 2 1
Direct
0.5000 0.5000 0.5000
0.9128 0.9128 0.9128
0.0872 0.0872 0.0872
0.0000 0.0000 0.0000
```



[16]
The following is a GGA-PBE calculation of crystalline Li2CrCo at its relaxed geometry, from Alexandria.

Calculated values
Space-group type: I-42d
E_form, eV/atom: 0.7106
Energy relative to the lowest polymorph listed for this composition, meV per atom: 452

```
Li2CrCo
1.0
-3.3376 4.3478 -4.0895
-5.7119 -0.9662 3.6344
-3.9359 3.4542 1.1667
Co Li Cr
2 4 2
Direct
0.0000 0.0000 0.0000
0.7500 0.2500 0.5000
0.1039 0.6250 0.2500
0.8750 0.8961 0.7500
0.3750 0.3539 0.7500
0.6461 0.1250 0.2500
0.5000 0.5000 0.0000
0.2500 0.7500 0.5000
```



[17]
The following is a GGA-PBE calculation of crystalline KNaTa2Zn at its relaxed geometry, from Alexandria.

Calculated values
Space-group type: P4/mmm
E_form, eV/atom: 1.4390

```
KNaTa2Zn
1.0
4.9043 0.0000 0.0000
0.0000 5.8719 0.0000
0.0000 0.0000 4.9043
Ta Zn K Na
2 1 1 1
Direct
0.0000 0.0000 0.5000
0.5000 0.0000 0.0000
0.0000 0.0000 0.0000
0.5000 0.5000 0.5000
0.0000 0.5000 0.0000
```



[18]
The following is a GGA-PBE calculation of crystalline Pm3Dy2Tm8 at its relaxed geometry, from Alexandria.

Calculated values
Space-group type: C2/m
E_form, eV/atom: 0.0246
Energy relative to the lowest polymorph listed for this composition, meV per atom: 0

```
Pm3Dy2Tm8
1.0
0.3859 4.2965 2.5311
5.5274 -3.2281 4.6368
12.0718 -1.8838 -3.5790
Tm Dy Pm
8 2 3
Direct
0.1557 0.9202 0.3111
0.6170 0.6867 0.2341
0.6932 0.1531 0.3863
0.3068 0.8469 0.6137
0.3830 0.3133 0.7659
0.9219 0.5425 0.8436
0.0781 0.4575 0.1564
0.8443 0.0798 0.6889
0.7688 0.6165 0.5376
0.2312 0.3835 0.4624
0.4611 0.7712 0.9222
0.0000 0.0000 0.0000
0.5389 0.2288 0.0778
```



[19]
The following is a GGA-PBE calculation of crystalline LaLu2Hg at its relaxed geometry, from Alexandria.

Calculated values
Space-group type: P4/mmm
E_form, eV/atom: -0.2234
Energy relative to the lowest polymorph listed for this composition, meV per atom: 0

```
LaLu2Hg
1.0
3.6096 0.0000 0.0000
0.0000 3.6096 0.0000
0.0000 0.0000 8.8690
La Lu Hg
1 2 1
Direct
0.5000 0.5000 0.5000
0.0000 0.0000 0.7896
0.0000 0.0000 0.2104
0.5000 0.5000 0.0000
```



[20]
The following is a GGA-PBE calculation of crystalline NaGa4Au8 at its relaxed geometry, from Alexandria.

Calculated values
Space-group type: I4/mmm
E_form, eV/atom: -0.1700
Energy relative to the lowest polymorph listed for this composition, meV per atom: 0

```
NaGa4Au8
1.0
0.3277 4.7449 3.1643
3.1750 -0.9612 6.2690
5.9033 3.7715 -1.1101
Au Ga Na
8 4 1
Direct
0.2785 0.2215 0.2215
0.6736 0.3264 0.3264
0.7215 0.7785 0.7785
0.0000 0.6736 0.3264
0.3264 0.6736 0.6736
0.5000 0.7785 0.2215
0.5000 0.2215 0.7785
0.0000 0.3264 0.6736
0.0000 0.5000 0.0000
0.5000 0.0000 0.5000
0.5000 0.5000 0.0000
0.0000 0.0000 0.5000
0.0000 0.0000 0.0000
```



Values for final energy, eV/f.u., ordered as above
-24.18 -41.16 -64.24 -11.66 -15.70 -32.43 -24.67 -26.80 -25.22 -13.65 -21.12 -17.77 -13.12 -19.09 -20.22 -17.71 -20.20 -58.91 -15.16 -41.86
Values for density, g cm⁻³, ordered as above
6.8 13.2 4.8 7.2 3.4 7.8 10.4 5.7 10.2 6.6 9.1 5.1 3.4 6.5 4.4 3.8 5.8 8.6 9.9 12.9
Values for magnetic moment, μB per atom, ordered as above
0.000 0.000 0.167 0.000 0.402 0.000 0.004 1.407 1.885 0.000 0.000 0.769 0.000 0.000 0.000 1.015 0.426 0.000 0.000 0.000